(1)
This record from Alexandria via LeMat-Bulk describes NiIr2Pt after structural relaxation. The functional is GGA-PBEsol.

Formation energy from the elements, meV/atom: 246
Space group: Cmmm, No. 65
D(E_F), states/eV per atom: 1.63
Offset from the most stable computed form, meV/atom: 251

a = 2.6622 Å, b = 2.6622 Å, c = 9.0344 Å
α = 90.00°, β = 90.00°, γ = 120.13°
Closest atoms and distances in Å follow each position.
Element x y z (fractional)
Ni (0.0000, 0.0000, 0.0000)  4 Ir 2.50, 6 Ni 2.66
Ir (0.5000, 0.5000, 0.2348)  2 Ni 2.50, 6 Ir 2.66, 2 Pt 2.74
Ir (0.5000, 0.5000, 0.7652)  2 Ni 2.50, 6 Ir 2.66, 2 Pt 2.74
Pt (0.0000, 0.0000, 0.5000)  6 Pt 2.66, 4 Ir 2.74

(2)
This record from Alexandria via LeMat-Bulk describes NiIr2Pt after structural relaxation. The functional is GGA-PBEsol.

Formation energy from the elements, meV/atom: 4
Space group: I-4m2, No. 119
D(E_F), states/eV per atom: 1.15
Offset from the most stable computed form, meV/atom: 8

a = 4.6209 Å, b = 4.6209 Å, c = 4.6209 Å
α = 131.79°, β = 131.79°, γ = 70.56°
Closest atoms and distances in Å follow each position.
Element x y z (fractional)
Ni (0.0000, 0.0000, 0.0000)  8 Ir 2.67, 4 Pt 2.67
Ir (0.2500, 0.7500, 0.5000)  4 Ni 2.67, 4 Ir 2.67, 4 Pt 2.67
Ir (0.5000, 0.5000, 0.0000)  4 Ir 2.67, 4 Pt 2.67, 4 Ni 2.67
Pt (0.7500, 0.2500, 0.5000)  4 Ni 2.67, 8 Ir 2.67